Compound: GePIrN2
Source: Alexandria
Functional: PBE-GGA
Structure: relaxed

Cell: 2.691 3.845 6.533 Å, 105.85 95.74 101.17°
Space group P1 (No. 1)
Asymmetric unit:
Ge 0.000 0.000 0.000
P 0.789 0.478 0.467
Ir 0.611 0.356 0.793
N 0.165 0.236 0.303
N 0.408 0.774 0.586

polymorph energy (0 for the lowest one) = 469.3 meV/atom
total DFT energy (no corrections) = -6.84 eV per atom
size of the total moment = 0.000 μB per atom
energy relative to the elements, uncorrected = 0.268 eV/atom